La2Fe: optimized geometry, PBEsol.

Lattice parameters (Å, degrees): 3.067 5.107 5.107 120.00 90.00 90.00
Last column: magnetic moment on the atom in μB.
Positions (direct):
1 La 0.500 0.667 0.333  -0.23
2 La 0.500 0.333 0.667  -0.23
3 Fe 0.000 0.000 0.000  2.56

Calculated values
**Formation energy from the elements**: 0.501 eV/atom
**DOS at the Fermi energy**: 5.3 states/eV/f.u.